1.
This record from the Alexandria database describes crystalline Mg2Zn3Cd8 at its relaxed geometry. The functional is PBE.

a b c (Å): 3.2208 9.9585 9.8517
angles (deg): 118.69 90.00 90.00
Closest atoms and distances in Å follow each position.
Element x y z (fractional)
Mg1 0.5000 0.3655 0.5369  7 Cd 2.92-3.11, 3 Mg 3.09-3.22
Mg2 0.5000 0.6345 0.4631  7 Cd 2.92-3.11, 3 Mg 3.09-3.22
Cd1 0.0000 0.4414 0.8350  7 Cd 2.88-3.22, 2 Zn 2.98-3.11, 2 Mg 3.11
Cd2 0.5000 0.8599 0.3460  1 Mg 2.98, 7 Cd 2.98-3.22, 2 Zn 3.04
Cd3 0.0000 0.5586 0.1650  7 Cd 2.88-3.22, 2 Zn 2.98-3.11, 2 Mg 3.11
Cd4 0.5000 0.3176 0.2164  3 Zn 2.84-2.88, 2 Mg 2.92-2.96, 4 Cd 3.13-3.14
Cd5 0.0000 0.0997 0.3048  3 Zn 2.85-3.12, 2 Mg 3.00, 4 Cd 3.06-3.14
Cd6 0.0000 0.9003 0.6952  3 Zn 2.85-3.12, 2 Mg 3.00, 4 Cd 3.06-3.14
Cd7 0.5000 0.1401 0.6540  1 Mg 2.98, 7 Cd 2.98-3.22, 2 Zn 3.04
Cd8 0.5000 0.6824 0.7836  3 Zn 2.84-2.88, 2 Mg 2.92-2.96, 4 Cd 3.13-3.14
Zn1 0.0000 0.7927 0.0590  7 Cd 2.85-3.11, 2 Zn 2.89
Zn2 0.5000 0.0000 0.0000  6 Cd 2.84-3.12, 4 Zn 2.89
Zn3 0.0000 0.2073 0.9410  7 Cd 2.85-3.11, 2 Zn 2.89

Output
V	277	Å³/cell
total moment	0.0	μB/cell
space-group type	No. 10
calculated total energy	-1.0626	eV/atom

2.
This record from the Alexandria database describes crystalline Mg6ZnCd12 at its relaxed geometry. The functional is PBE.

a b c (Å): 7.4786 7.4786 7.4786
angles (deg): 92.83 92.83 92.83
Closest atoms and distances in Å follow each position.
Element x y z (fractional)
Cd1 0.8002 0.5289 0.4437  4 Cd 2.93-3.12, 4 Mg 3.04-3.13
Cd2 0.9569 0.8580 0.6284  1 Zn 2.92, 4 Cd 2.93-3.16, 5 Mg 3.02-3.18
Cd3 0.6284 0.9569 0.8580  1 Zn 2.92, 4 Cd 2.93-3.16, 5 Mg 3.02-3.18
Cd4 0.5563 0.1998 0.4711  4 Cd 2.93-3.12, 4 Mg 3.04-3.13
Cd5 0.1998 0.4711 0.5563  4 Cd 2.93-3.12, 4 Mg 3.04-3.13
Cd6 0.8580 0.6284 0.9569  1 Zn 2.92, 4 Cd 2.93-3.16, 5 Mg 3.02-3.18
Cd7 0.0431 0.1420 0.3716  1 Zn 2.92, 4 Cd 2.93-3.16, 5 Mg 3.02-3.18
Cd8 0.4711 0.5563 0.1998  4 Cd 2.93-3.12, 4 Mg 3.04-3.13
Cd9 0.4437 0.8002 0.5289  4 Cd 2.93-3.12, 4 Mg 3.04-3.13
Cd10 0.1420 0.3716 0.0431  1 Zn 2.92, 4 Cd 2.93-3.16, 5 Mg 3.02-3.18
Cd11 0.5289 0.4437 0.8002  4 Cd 2.93-3.12, 4 Mg 3.04-3.13
Cd12 0.3716 0.0431 0.1420  1 Zn 2.92, 4 Cd 2.93-3.16, 5 Mg 3.02-3.18
Mg1 0.2644 0.7289 0.8828  9 Cd 3.02-3.18, 1 Zn 3.03, 2 Mg 3.16
Mg2 0.7289 0.8828 0.2644  9 Cd 3.02-3.18, 1 Zn 3.03, 2 Mg 3.16
Mg3 0.2711 0.1172 0.7356  9 Cd 3.02-3.18, 1 Zn 3.03, 2 Mg 3.16
Mg4 0.8828 0.2644 0.7289  9 Cd 3.02-3.18, 1 Zn 3.03, 2 Mg 3.16
Mg5 0.7356 0.2711 0.1172  9 Cd 3.02-3.18, 1 Zn 3.03, 2 Mg 3.16
Mg6 0.1172 0.7356 0.2711  9 Cd 3.02-3.18, 1 Zn 3.03, 2 Mg 3.16
Zn1 0.0000 0.0000 0.0000  6 Cd 2.92, 6 Mg 3.03

Output
V	417	Å³/cell
total moment	0.0	μB/cell
space-group type	No. 148
calculated total energy	-1.1981	eV/atom

3.
This record from the Alexandria database describes crystalline Mg5ZnCd2 at its relaxed geometry. The functional is PBE.

a b c (Å): 6.1155 6.1159 5.9396
angles (deg): 107.39 107.42 114.78
Closest atoms and distances in Å follow each position.
Element x y z (fractional)
Mg1 0.8089 0.2434 0.0000  6 Mg 3.03-3.32, 4 Cd 3.03-3.07, 2 Zn 3.05-3.06
Mg2 0.2475 0.3099 0.5008  4 Cd 3.02-3.10, 2 Zn 3.04, 6 Mg 3.05-3.30
Mg3 0.3128 0.2414 0.9999  8 Mg 3.03-3.09, 2 Cd 3.10, 2 Zn 3.29-3.30
Mg4 0.7462 0.8087 0.4994  4 Cd 3.01-3.10, 2 Zn 3.04, 6 Mg 3.05-3.30
Mg5 0.3121 0.7461 0.0000  6 Mg 3.03-3.32, 4 Cd 3.03-3.08, 2 Zn 3.06
Cd1 0.7452 0.3172 0.5064  9 Mg 3.02-3.10, 1 Zn 3.07, 2 Cd 3.30
Cd2 0.2383 0.8108 0.4933  9 Mg 3.01-3.10, 1 Zn 3.06, 2 Cd 3.30
Zn1 0.8120 0.7453 0.0002  10 Mg 3.04-3.30, 2 Cd 3.06-3.07

Output
V	168	Å³/cell
total moment	0.0	μB/cell
space-group type	No. 8
calculated total energy	-1.4476	eV/atom

4.
This record from the Alexandria database describes crystalline Mg4Zn2Cd5 at its relaxed geometry. The functional is PBE.

a b c (Å): 3.2264 7.4354 9.5908
angles (deg): 94.78 90.00 90.00
Closest atoms and distances in Å follow each position.
Element x y z (fractional)
Mg1 0.5000 0.2638 0.4427  4 Zn 2.92-2.94, 6 Cd 3.08-3.18, 2 Mg 3.23
Mg2 0.5000 0.1726 0.8765  2 Zn 2.93, 8 Cd 3.05-3.22, 2 Mg 3.23
Mg3 0.5000 0.7362 0.5573  4 Zn 2.92-2.94, 6 Cd 3.08-3.18, 2 Mg 3.23
Mg4 0.5000 0.8274 0.1235  2 Zn 2.93, 8 Cd 3.05-3.22, 2 Mg 3.23
Cd1 0.0000 0.1763 0.1591  1 Zn 2.80, 2 Cd 2.95-3.08, 2 Mg 3.05
Cd2 0.0000 0.8237 0.8409  1 Zn 2.80, 2 Cd 2.95-3.08, 2 Mg 3.05
Cd3 0.0000 0.5000 0.0000  6 Cd 2.95-3.23, 4 Mg 3.07
Cd4 0.0000 0.4409 0.6905  1 Zn 2.83, 2 Cd 2.96-3.08, 4 Mg 3.08-3.09
Cd5 0.0000 0.5591 0.3095  1 Zn 2.83, 2 Cd 2.96-3.08, 4 Mg 3.08-3.09
Zn1 0.0000 0.9381 0.3708  1 Zn 2.57, 2 Cd 2.80-2.83
Zn2 0.0000 0.0619 0.6292  1 Zn 2.57, 2 Cd 2.80-2.83

Output
V	229	Å³/cell
total moment	0.0	μB/cell
space-group type	No. 10
calculated total energy	-1.3027	eV/atom

5.
This record from the Alexandria database describes crystalline Mg2ZnCd at its relaxed geometry. The functional is PBE.

a b c (Å): 3.2725 4.5342 5.7353
angles (deg): 90.00 107.64 90.00
Closest atoms and distances in Å follow each position.
Element x y z (fractional)
Cd1 0.9778 0.5000 0.8183  2 Zn 2.78, 7 Mg 2.91-3.05
Zn1 0.8308 0.0000 0.5252  2 Cd 2.78, 5 Mg 2.80-2.95
Mg1 0.2378 0.5000 0.3507  3 Cd 2.91-3.05, 4 Zn 2.95
Mg2 0.5791 0.0000 0.0131  2 Zn 2.80-3.11, 4 Cd 2.99-3.00

Output
V	81	Å³/cell
total moment	0.0	μB/cell
space-group type	No. 6
calculated total energy	-1.4190	eV/atom
ΔE to the lowest computed polymorph	13.8	meV per atom

6.
This record from the Alexandria database describes crystalline Mg3Zn2Cd3 at its relaxed geometry. The functional is PBE.

a b c (Å): 5.1454 5.1195 6.1693
angles (deg): 90.00 90.00 90.00
Closest atoms and distances in Å follow each position.
Element x y z (fractional)
Cd1 0.5000 0.5000 0.2525  6 Mg 2.98-3.00, 4 Cd 3.01-3.12
Cd2 0.5000 0.5000 0.7475  6 Mg 2.98-3.00, 4 Cd 3.01-3.12
Cd3 0.0000 0.5000 0.0000  4 Zn 2.99, 4 Cd 3.01, 2 Mg 3.08
Mg1 0.0000 0.5000 0.5000  4 Zn 2.98, 6 Cd 2.99-3.08
Mg2 0.5000 0.0000 0.5000  4 Cd 2.98, 4 Zn 3.00, 2 Mg 3.08
Mg3 0.5000 0.0000 0.0000  4 Cd 3.00, 4 Zn 3.00, 2 Mg 3.08
Zn1 0.0000 0.0000 0.2514  6 Mg 2.98-3.00, 2 Cd 2.99, 2 Zn 3.07-3.10
Zn2 0.0000 0.0000 0.7486  6 Mg 2.98-3.00, 2 Cd 2.99, 2 Zn 3.07-3.10

Output
V	163	Å³/cell
total moment	0.0	μB/cell
space-group type	No. 47
calculated total energy	-1.2866	eV/atom

7.
This record from the Alexandria database describes crystalline Mg2ZnCd at its relaxed geometry. The functional is PBE.

a b c (Å): 5.2284 5.7503 5.7541
angles (deg): 106.68 94.27 97.73
Closest atoms and distances in Å follow each position.
Element x y z (fractional)
Mg1 0.8441 0.3889 0.7036  3 Zn 2.75-2.92, 2 Cd 3.01-3.03
Mg2 0.1559 0.6111 0.2964  3 Zn 2.75-2.92, 2 Cd 3.01-3.03
Mg3 0.2392 0.0483 0.8626  3 Zn 2.88-3.01, 4 Cd 2.95-3.08, 1 Mg 3.13
Mg4 0.7608 0.9517 0.1374  3 Zn 2.88-3.01, 4 Cd 2.95-3.08, 1 Mg 3.13
Cd1 0.6904 0.8420 0.6003  2 Zn 2.83-2.85, 7 Mg 2.95-3.09
Cd2 0.3096 0.1580 0.3997  2 Zn 2.83-2.85, 7 Mg 2.95-3.09
Zn1 0.3666 0.5649 0.8321  1 Zn 2.64, 5 Mg 2.75-2.92, 2 Cd 2.83-2.85
Zn2 0.6334 0.4351 0.1679  1 Zn 2.64, 5 Mg 2.75-2.92, 2 Cd 2.83-2.85

Output
V	163	Å³/cell
total moment	0.0	μB/cell
space-group type	No. 2
calculated total energy	-1.4220	eV/atom
ΔE to the lowest computed polymorph	10.7	meV per atom

8.
This record from the Alexandria database describes crystalline Mg2ZnCd at its relaxed geometry. The functional is PBE.

a b c (Å): 6.6744 6.6744 6.6744
angles (deg): 52.82 153.46 135.21
Closest atoms and distances in Å follow each position.
Element x y z (fractional)
Cd1 0.0000 0.5000 0.5000  4 Zn 2.97, 2 Cd 3.06, 2 Mg 3.21
Zn1 0.0000 0.0000 0.0000  2 Mg 2.77, 4 Cd 2.97, 2 Zn 3.06
Mg1 0.0000 0.7686 0.7686  1 Zn 2.77, 6 Mg 3.00-3.06
Mg2 0.0000 0.2314 0.2314  1 Zn 2.77, 6 Mg 3.00-3.06

Output
V	93	Å³/cell
total moment	0.0	μB/cell
space-group type	No. 71
calculated total energy	-1.1483	eV/atom
ΔE to the lowest computed polymorph	284.4	meV per atom

Asked for energy of formation from the pure elements across the records above, the calculation gives 0.040 -0.050 -0.063 -0.075 -0.074 -0.027 -0.077 0.196 eV per atom in order.